[1]
First-principles (PBE) data for CePrSm2Ho after structural relaxation, as listed in Alexandria via LeMat-Bulk.

DOS at the Fermi energy ... 10.26 states/eV/f.u.
DFT formation energy ... 1.393 eV/f.u.

Unit cell a=8.4713 b=6.3903 c=6.2157 alpha=90.00 beta=92.58 gamma=90.00
Atoms (fractional coordinates):
1 Ce 0.0000 0.0448 0.2500
2 Ce 0.0000 0.9552 0.7500
3 Pr 0.0000 0.5000 0.0000
4 Pr 0.0000 0.5000 0.5000
5 Sm 0.3090 0.1894 0.7364
6 Sm 0.3090 0.8106 0.2364
7 Sm 0.6910 0.1894 0.7636
8 Sm 0.6910 0.8106 0.2636
9 Ho 0.5000 0.3276 0.2500
10 Ho 0.5000 0.6724 0.7500

[2]
First-principles (PBE) data for TbCe2Pr3Ho6 after structural relaxation, as listed in Alexandria via LeMat-Bulk.

DOS at the Fermi energy ... 20.07 states/eV/f.u.
DFT formation energy ... 0.547 eV/f.u.

Unit cell a=6.1990 b=6.1990 c=11.7582 alpha=95.04 beta=95.04 gamma=119.99
Atoms (fractional coordinates):
1 Tb 0.0000 0.0000 0.0000
2 Ce 0.3336 0.6664 0.0000
3 Ce 0.6664 0.3336 0.0000
4 Pr 0.1660 0.8340 0.5000
5 Pr 0.5000 0.5000 0.5000
6 Pr 0.8340 0.1660 0.5000
7 Ho 0.0818 0.4173 0.2450
8 Ho 0.2538 0.2538 0.7549
9 Ho 0.4173 0.0818 0.2450
10 Ho 0.5827 0.9182 0.7550
11 Ho 0.7462 0.7462 0.2451
12 Ho 0.9182 0.5827 0.7550

[3]
First-principles (PBE) data for Tb4CePrHo2 after structural relaxation, as listed in Alexandria via LeMat-Bulk.

DOS at the Fermi energy ... 13.51 states/eV/f.u.
DFT formation energy ... 0.334 eV/f.u.

Unit cell a=6.1594 b=3.5616 c=11.8540 alpha=90.00 beta=99.94 gamma=90.00
Atoms (fractional coordinates):
1 Tb 0.2464 0.0000 0.2465
2 Tb 0.2491 0.5000 0.7529
3 Tb 0.7509 0.5000 0.2471
4 Tb 0.7536 0.0000 0.7535
5 Ce 0.0000 0.5000 0.0000
6 Pr 0.0000 0.0000 0.5000
7 Ho 0.5000 0.0000 0.0000
8 Ho 0.5000 0.5000 0.5000

[4]
First-principles (PBE) data for Tb2CePrHo4 after structural relaxation, as listed in Alexandria via LeMat-Bulk.

DOS at the Fermi energy ... 13.22 states/eV/f.u.
DFT formation energy ... 0.325 eV/f.u.

Unit cell a=6.1552 b=3.5550 c=11.7781 alpha=90.00 beta=100.04 gamma=90.00
Atoms (fractional coordinates):
1 Tb 0.0000 0.0000 0.0000
2 Tb 0.0000 0.5000 0.5000
3 Ce 0.5000 0.0000 0.5000
4 Pr 0.5000 0.5000 0.0000
5 Ho 0.2518 0.0000 0.7477
6 Ho 0.2537 0.5000 0.2537
7 Ho 0.7463 0.5000 0.7463
8 Ho 0.7482 0.0000 0.2523

[5]
First-principles (PBE) data for Tb6Ce2PrHo3 after structural relaxation, as listed in Alexandria via LeMat-Bulk.

DOS at the Fermi energy ... 22.73 states/eV/f.u.
DFT formation energy ... 0.621 eV/f.u.

Unit cell a=6.1582 b=6.1582 c=11.7922 alpha=95.00 beta=95.00 gamma=120.01
Atoms (fractional coordinates):
1 Tb 0.0792 0.4157 0.2488
2 Tb 0.2479 0.2479 0.7512
3 Tb 0.4157 0.0792 0.2488
4 Tb 0.5843 0.9208 0.7512
5 Tb 0.7521 0.7521 0.2488
6 Tb 0.9208 0.5843 0.7512
7 Ce 0.1668 0.8332 0.5000
8 Ce 0.8332 0.1668 0.5000
9 Pr 0.5000 0.5000 0.5000
10 Ho 0.0000 0.0000 0.0000
11 Ho 0.3336 0.6664 0.0000
12 Ho 0.6664 0.3336 0.0000

[6]
First-principles (PBE) data for TbCePrHo after structural relaxation, as listed in Alexandria via LeMat-Bulk.

DOS at the Fermi energy ... 10.53 states/eV/f.u.
DFT formation energy ... 0.683 eV/f.u.

Unit cell a=5.7069 b=5.7069 c=5.7069 alpha=60.00 beta=60.00 gamma=60.00
Atoms (fractional coordinates):
1 Tb 0.0000 0.0000 0.0000
2 Ce 0.7500 0.7500 0.7500
3 Pr 0.2500 0.2500 0.2500
4 Ho 0.5000 0.5000 0.5000

[7]
First-principles (PBE) data for Tb6CePr3Ho2 after structural relaxation, as listed in Alexandria via LeMat-Bulk.

DOS at the Fermi energy ... 19.23 states/eV/f.u.
DFT formation energy ... 0.434 eV/f.u.

Unit cell a=6.2282 b=6.2282 c=11.8900 alpha=95.01 beta=95.01 gamma=120.00
Atoms (fractional coordinates):
1 Tb 0.0819 0.4130 0.2452
2 Tb 0.2495 0.2495 0.7546
3 Tb 0.4130 0.0819 0.2452
4 Tb 0.5870 0.9181 0.7548
5 Tb 0.7505 0.7505 0.2454
6 Tb 0.9181 0.5870 0.7548
7 Ce 0.0000 0.0000 0.0000
8 Pr 0.1675 0.8325 0.5000
9 Pr 0.5000 0.5000 0.5000
10 Pr 0.8325 0.1675 0.5000
11 Ho 0.3333 0.6667 0.0000
12 Ho 0.6667 0.3333 0.0000

[8]
First-principles (PBE) data for Tb2CePr6Ho after structural relaxation, as listed in Alexandria via LeMat-Bulk.

DOS at the Fermi energy ... 21.81 states/eV/f.u.
DFT formation energy ... 2.309 eV/f.u.

Unit cell a=6.6991 b=6.6991 c=8.9177 alpha=101.35 beta=101.35 gamma=64.35
Atoms (fractional coordinates):
1 Tb 0.0917 0.0917 0.1632
2 Tb 0.9083 0.9083 0.8368
3 Ce 0.5000 0.5000 0.0000
4 Pr 0.0614 0.5942 0.2044
5 Pr 0.3740 0.3740 0.5830
6 Pr 0.4058 0.9386 0.7956
7 Pr 0.5942 0.0614 0.2044
8 Pr 0.6260 0.6260 0.4170
9 Pr 0.9386 0.4058 0.7956
10 Ho 0.0000 0.0000 0.5000

Number 1: raw total energy -4.667 eV/atom. Number 2: raw total energy -4.813 eV/atom. Number 3: raw total energy -4.757 eV/atom. Number 4: raw total energy -4.745 eV/atom. Number 5: raw total energy -4.795 eV/atom. Number 6: raw total energy -4.810 eV/atom. Number 7: raw total energy -4.731 eV/atom. Number 8: raw total energy -4.614 eV/atom.